# 1
A relaxed structure of NaSi2. Source: the Alexandria database, functional PBE-GGA.

Cell lengths 3.831, 5.033, 7.377 Å; angles 81.34, 88.14, 71.24 degrees
Space group P-1 (No. 2)
Asymmetric unit:
Na  0.159  0.248  0.361 (multiplicity 2)
Si  0.166  0.146  0.792 (multiplicity 2)
Si  0.394  0.737  0.037 (multiplicity 2)

Values from the calculation:
formation energy without anion corrections = 0.056 eV per atom
total magnetic moment = 0.00 μB per formula unit
E = -3.999 eV per atom

# 2
A relaxed structure of Na3Si17. Source: the Alexandria database, functional PBE-GGA.

Cell lengths 14.767, 14.767, 14.767 Å; angles 90.00, 90.00, 90.00 degrees
Space group Fd-3m (No. 227, origin choice 2)
Asymmetric unit:
Na  0.000  0.000  0.000 (multiplicity 16)
Na  0.125  0.125  0.625 (multiplicity 8)
Si  0.032  0.032  0.218 (multiplicity 32)
Si  0.067  0.067  0.371 (multiplicity 96)
Si  0.125  0.125  0.125 (multiplicity 8)

Values from the calculation:
formation energy without anion corrections = -0.007 eV per atom
total magnetic moment = 0.00 μB per formula unit
E = -4.814 eV per atom

# 3
A relaxed structure of NaSi2. Source: the Alexandria database, functional PBE-GGA.

Cell lengths 11.517, 3.833, 6.288 Å; angles 90.00, 102.38, 90.00 degrees
Space group C2/m (No. 12)
Asymmetric unit:
Na  0.191  0.000  0.244 (multiplicity 4)
Si  0.040  0.500  0.851 (multiplicity 4)
Si  0.081  0.000  0.663 (multiplicity 4)

Values from the calculation:
formation energy without anion corrections = 0.076 eV per atom
total magnetic moment = 0.00 μB per formula unit
E = -3.979 eV per atom

# 4
A relaxed structure of NaSi2. Source: the Alexandria database, functional PBE-GGA.

Cell lengths 4.332, 4.351, 6.696 Å; angles 90.00, 90.00, 90.00 degrees
Space group Pmmn (No. 59, origin choice 2)
Asymmetric unit:
Na  0.250  0.250  0.147 (multiplicity 2)
Si  0.250  0.250  0.683 (multiplicity 2)
Si  0.250  0.750  0.500 (multiplicity 2)

Values from the calculation:
formation energy without anion corrections = 0.099 eV per atom
total magnetic moment = 0.00 μB per formula unit
E = -3.956 eV per atom

# 5
A relaxed structure of Na3Si34. Source: the Alexandria database, functional PBE-GGA.

Cell lengths 10.4102, 10.4102, 25.5442 Å; angles 90.00, 90.00, 120.00 degrees
Space group R-3m (No. 166, hexagonal axes)
Asymmetric unit:
Na  0.0000  0.0000  0.0000 (multiplicity 3)
Na  0.0000  0.0000  0.3751 (multiplicity 6)
Si  0.0000  0.0000  0.1254 (multiplicity 6)
Si  0.0000  0.0000  0.2176 (multiplicity 6)
Si  0.0052  0.3869  0.6237 (multiplicity 36)
Si  0.0720  0.5360  0.1647 (multiplicity 18)
Si  0.0826  0.5413  0.9119 (multiplicity 18)
Si  0.0866  0.5433  0.7610 (multiplicity 18)

Values from the calculation:
formation energy without anion corrections = 0.024 eV per atom
total magnetic moment = 0.00 μB per formula unit
E = -5.066 eV per atom

# 6
A relaxed structure of NaSi2. Source: the Alexandria database, functional PBE-GGA.

Cell lengths 3.8766, 3.8766, 5.1118 Å; angles 90.00, 90.00, 120.00 degrees
Space group P-3m1 (No. 164)
Asymmetric unit:
Na  0.0000  0.0000  0.0000 (multiplicity 1)
Si  0.3333  0.6667  0.5687 (multiplicity 2)

Values from the calculation:
formation energy without anion corrections = 0.074 eV per atom
total magnetic moment = 0.00 μB per formula unit
E = -3.981 eV per atom

# 7
A relaxed structure of NaSmSi4. Source: the Alexandria database, functional PBE-GGA.

Cell lengths 7.558, 7.558, 7.558 Å; angles 90.00, 90.00, 90.00 degrees
Space group F-43m (No. 216)
Asymmetric unit:
Na  0.000  0.000  0.000 (multiplicity 4)
Sm  0.250  0.250  0.250 (multiplicity 4)
Si  0.128  0.128  0.628 (multiplicity 16)

Values from the calculation:
formation energy without anion corrections = -0.193 eV per atom
total magnetic moment = 0.00 μB per formula unit
E = -4.815 eV per atom

# 8
A relaxed structure of Na3SiSn. Source: the Alexandria database, functional PBE-GGA.

Cell lengths 5.835, 5.835, 5.835 Å; angles 90.00, 90.00, 90.00 degrees
Space group Pm-3m (No. 221)
Asymmetric unit:
Na  0.000  0.000  0.500 (multiplicity 3)
Si  0.500  0.500  0.500 (multiplicity 1)
Sn  0.000  0.000  0.000 (multiplicity 1)

Values from the calculation:
formation energy without anion corrections = 0.679 eV per atom
total magnetic moment = 1.00 μB per formula unit
E = -1.998 eV per atom

Which of these has the highest E? Na3SiSn